[1]
Compound: CdAg2Cl6
Source: Alexandria
Functional: PBE
Structure: optimized geometry

Cell and atoms, written as extended XYZ:
```
18
Lattice="6.624 0.000 0.000 0.000 6.192 0.000 -5.013 0.000 11.669" Properties=species:S:1:pos:R:3 pbc="T T T"
Cd 0.000 0.000 0.000
Cd -2.507 3.096 5.834
Ag -1.951 0.170 9.636
Ag 0.556 2.926 3.802
Ag 1.055 3.266 7.867
Ag 3.562 6.022 2.033
Cl -1.456 1.522 4.067
Cl -3.962 1.574 9.901
Cl -0.376 4.495 5.500
Cl -2.883 4.793 11.334
Cl 1.543 1.280 2.215
Cl -0.964 1.817 8.049
Cl 2.575 4.376 3.620
Cl 0.068 4.913 9.454
Cl 4.494 1.399 0.334
Cl 1.987 1.697 6.169
Cl 5.573 4.619 1.767
Cl 3.066 4.670 7.602
```

**Crystal system**: monoclinic
**Formation energy without anion corrections**: -0.563 eV/atom
**Space-group type**: No. 14

[2]
Compound: CdAg5Cl8
Source: Alexandria
Functional: PBE
Structure: optimized geometry

Cell and atoms, written as extended XYZ:
```
14
Lattice="-4.542 4.542 4.192 4.542 -4.542 4.192 4.542 4.542 -4.192" Properties=species:S:1:pos:R:3 pbc="T T T"
Cd 0.000 0.000 0.000
Ag 6.304 2.373 -1.028
Ag 4.542 0.000 2.096
Ag 2.373 2.780 1.028
Ag -1.762 2.169 3.164
Ag 2.169 1.762 5.220
Cl 2.420 4.185 -1.236
Cl -0.202 2.359 0.918
Cl 2.122 0.357 2.956
Cl 4.899 2.420 1.236
Cl 0.202 6.725 0.918
Cl 2.183 4.340 3.275
Cl -0.357 2.122 5.428
Cl -2.183 4.744 3.275
```

**Crystal system**: tetragonal
**Formation energy without anion corrections**: -0.544 eV/atom
**Space-group type**: No. 82

[3]
Compound: CdAgCl2
Source: Alexandria
Functional: PBE
Structure: optimized geometry

Cell and atoms, written as extended XYZ:
```
16
Lattice="7.052 0.000 0.000 0.000 7.052 0.000 0.000 0.000 7.052" Properties=species:S:1:pos:R:3 pbc="T T T"
Cd 0.000 0.000 0.000
Cd 0.000 3.526 3.526
Cd 3.526 0.000 3.526
Cd 3.526 3.526 0.000
Ag 1.763 1.763 1.763
Ag 1.763 5.289 5.289
Ag 5.289 1.763 5.289
Ag 5.289 5.289 1.763
Cl 0.000 0.000 3.526
Cl 0.000 3.526 0.000
Cl 1.763 1.763 5.289
Cl 1.763 5.289 1.763
Cl 3.526 0.000 0.000
Cl 3.526 3.526 3.526
Cl 5.289 1.763 1.763
Cl 5.289 5.289 5.289
```

**Crystal system**: cubic
**Energy relative to the lowest polymorph listed for this composition**: 448 meV/atom
**Formation energy without anion corrections**: -0.071 eV/atom
**Space-group type**: No. 216

[4]
Compound: Cd2AgCl2
Source: Alexandria
Functional: PBE
Structure: optimized geometry

Cell and atoms, written as extended XYZ:
```
10
Lattice="3.878 0.000 0.000 0.000 3.878 0.000 0.000 0.000 16.906" Properties=species:S:1:pos:R:3 pbc="T T T"
Cd 0.000 1.939 4.226
Cd 0.000 1.939 12.679
Cd 1.939 0.000 4.226
Cd 1.939 0.000 12.679
Ag 0.000 0.000 0.000
Ag 1.939 1.939 8.453
Cl 0.000 0.000 6.842
Cl 0.000 0.000 10.063
Cl 1.939 1.939 1.611
Cl 1.939 1.939 15.295
```

**Crystal system**: tetragonal
**Energy relative to the lowest polymorph listed for this composition**: 59 meV/atom
**Formation energy without anion corrections**: -0.166 eV/atom
**Space-group type**: No. 139

[5]
Compound: CdAgCl
Source: Alexandria
Functional: PBE
Structure: optimized geometry

Cell and atoms, written as extended XYZ:
```
3
Lattice="3.616 0.000 0.000 -1.808 3.131 0.000 0.000 0.000 5.924" Properties=species:S:1:pos:R:3 pbc="T T T"
Cd 0.000 0.000 0.000
Ag 0.000 2.088 4.013
Cl 1.808 1.044 1.996
```

**Crystal system**: trigonal
**Energy relative to the lowest polymorph listed for this composition**: 0 meV/atom
**Formation energy without anion corrections**: -0.332 eV/atom
**Space-group type**: No. 156

[6]
Compound: CdAgCl2
Source: Alexandria
Functional: PBE
Structure: optimized geometry

Cell and atoms, written as extended XYZ:
```
16
Lattice="7.070 0.000 0.000 0.000 7.070 0.000 0.000 0.000 7.070" Properties=species:S:1:pos:R:3 pbc="T T T"
Cd 0.000 0.000 0.000
Cd 0.000 3.535 3.535
Cd 3.535 0.000 3.535
Cd 3.535 3.535 0.000
Ag 0.000 0.000 3.535
Ag 0.000 3.535 0.000
Ag 3.535 0.000 0.000
Ag 3.535 3.535 3.535
Cl 1.767 1.767 1.767
Cl 1.767 1.767 5.302
Cl 1.767 5.302 1.767
Cl 1.767 5.302 5.302
Cl 5.302 1.767 1.767
Cl 5.302 1.767 5.302
Cl 5.302 5.302 1.767
Cl 5.302 5.302 5.302
```

**Crystal system**: cubic
**Energy relative to the lowest polymorph listed for this composition**: 252 meV/atom
**Formation energy without anion corrections**: -0.267 eV/atom
**Space-group type**: No. 225

[7]
Compound: CdAg3Cl4
Source: Alexandria
Functional: PBE
Structure: optimized geometry

Cell and atoms, written as extended XYZ:
```
16
Lattice="6.170 0.000 0.000 0.000 6.170 0.000 0.000 0.000 12.192" Properties=species:S:1:pos:R:3 pbc="T T T"
Cd 0.000 0.000 0.000
Cd 3.085 3.085 6.096
Ag 0.000 0.000 6.096
Ag 0.000 3.085 3.048
Ag 0.000 3.085 9.144
Ag 3.085 0.000 3.048
Ag 3.085 0.000 9.144
Ag 3.085 3.085 0.000
Cl 1.508 1.508 4.538
Cl 1.508 4.662 7.654
Cl 1.577 1.577 10.634
Cl 1.577 4.593 1.558
Cl 4.593 1.577 1.558
Cl 4.593 4.593 10.634
Cl 4.662 1.508 7.654
Cl 4.662 4.662 4.538
```

**Crystal system**: tetragonal
**Formation energy without anion corrections**: -0.420 eV/atom
**Space-group type**: No. 121

[8]
Compound: Cd2Ag2Cl7
Source: Alexandria
Functional: PBE
Structure: optimized geometry

Cell and atoms, written as extended XYZ:
```
11
Lattice="3.813 -5.986 0.000 3.813 5.986 0.000 -0.705 0.000 6.974" Properties=species:S:1:pos:R:3 pbc="T T T"
Cd 3.813 3.775 0.000
Cd 3.813 -3.775 0.000
Ag 1.241 0.000 4.438
Ag 5.680 0.000 2.536
Cl 1.410 2.417 5.411
Cl 0.457 0.000 1.643
Cl 1.410 -2.417 5.411
Cl 3.461 0.000 3.487
Cl 5.511 2.417 1.562
Cl 6.464 0.000 5.331
Cl 5.511 -2.417 1.562
```

**Crystal system**: monoclinic
**Energy relative to the lowest polymorph listed for this composition**: 0 meV/atom
**Formation energy without anion corrections**: -0.710 eV/atom
**Space-group type**: No. 12

[9]
Compound: CdAgCl2
Source: Alexandria
Functional: PBE
Structure: optimized geometry

Cell and atoms, written as extended XYZ:
```
4
Lattice="3.429 0.000 0.000 0.000 3.444 0.000 0.000 0.000 7.476" Properties=species:S:1:pos:R:3 pbc="T T T"
Cd 0.000 0.000 0.000
Ag 0.000 0.000 3.738
Cl 1.714 1.722 2.031
Cl 1.714 1.722 5.445
```

**Crystal system**: orthorhombic
**Energy relative to the lowest polymorph listed for this composition**: 247 meV/atom
**Formation energy without anion corrections**: -0.272 eV/atom
**Space-group type**: No. 47

[10]
Compound: CdAgCl2
Source: Alexandria
Functional: PBE
Structure: optimized geometry

Cell and atoms, written as extended XYZ:
```
8
Lattice="7.024 0.000 0.000 0.000 4.041 0.000 -2.382 0.000 6.826" Properties=species:S:1:pos:R:3 pbc="T T T"
Cd 0.000 0.000 0.000
Cd 3.512 2.021 0.000
Ag -1.191 2.021 3.413
Ag 2.321 0.000 3.413
Cl -0.043 0.000 4.962
Cl 1.172 2.021 1.864
Cl 3.469 2.021 4.962
Cl 4.684 0.000 1.864
```

**Crystal system**: monoclinic
**Energy relative to the lowest polymorph listed for this composition**: 128 meV/atom
**Formation energy without anion corrections**: -0.391 eV/atom
**Space-group type**: No. 12

[11]
Compound: CdAgCl
Source: Alexandria
Functional: PBE
Structure: optimized geometry

Cell and atoms, written as extended XYZ:
```
6
Lattice="3.315 0.000 0.000 0.000 3.315 0.000 0.000 0.000 11.592" Properties=species:S:1:pos:R:3 pbc="T T T"
Cd 0.000 0.000 0.000
Cd 1.657 1.657 5.796
Ag 0.000 0.000 7.555
Ag 1.657 1.657 1.759
Cl 0.000 0.000 3.801
Cl 1.657 1.657 9.597
```

**Crystal system**: tetragonal
**Energy relative to the lowest polymorph listed for this composition**: 98 meV/atom
**Formation energy without anion corrections**: -0.234 eV/atom
**Space-group type**: No. 107

[12]
Compound: CdAgCl
Source: Alexandria
Functional: PBE
Structure: optimized geometry

Cell and atoms, written as extended XYZ:
```
12
Lattice="3.709 0.000 0.000 0.000 5.905 0.000 0.000 0.000 12.400" Properties=species:S:1:pos:R:3 pbc="T T T"
Cd 0.000 0.000 0.000
Cd 0.000 2.953 6.200
Cd 1.854 0.000 6.200
Cd 1.854 2.953 0.000
Ag 0.000 0.000 4.155
Ag 0.000 2.953 10.356
Ag 1.854 0.000 10.356
Ag 1.854 2.953 4.155
Cl 0.000 0.000 8.273
Cl 0.000 2.953 2.073
Cl 1.854 0.000 2.073
Cl 1.854 2.953 8.273
```

**Crystal system**: orthorhombic
**Energy relative to the lowest polymorph listed for this composition**: 92 meV/atom
**Formation energy without anion corrections**: -0.240 eV/atom
**Space-group type**: No. 42

Number 1: total DFT energy (no corrections) -45.53 eV for the cell shown. Number 2: total DFT energy (no corrections) -37.57 eV for the cell shown. Number 3: total DFT energy (no corrections) -30.97 eV for the cell shown. Number 4: total DFT energy (no corrections) -18.41 eV for the cell shown. Number 5: total DFT energy (no corrections) -6.61 eV for the cell shown. Number 6: total DFT energy (no corrections) -34.11 eV for the cell shown. Number 7: total DFT energy (no corrections) -40.43 eV for the cell shown. Number 8: total DFT energy (no corrections) -28.27 eV for the cell shown. Number 9: total DFT energy (no corrections) -8.55 eV for the cell shown. Number 10: total DFT energy (no corrections) -18.05 eV for the cell shown. Number 11: total DFT energy (no corrections) -12.63 eV for the cell shown. Number 12: total DFT energy (no corrections) -25.33 eV for the cell shown.